Pm3Al2Tl2: relaxed, PBE.

Formation energy, eV per atom: -0.417

Unit cell a=4.471 b=22.414 c=3.690 alpha=90.00 beta=90.00 gamma=90.00
Atoms (fractional coordinates):
Pm 0.000 0.000 0.000
Pm 0.000 0.164 0.000
Pm 0.000 0.836 0.000
Pm 0.500 0.336 0.000
Pm 0.500 0.500 0.000
Pm 0.500 0.664 0.000
Al 0.000 0.281 0.500
Al 0.000 0.719 0.500
Al 0.500 0.219 0.500
Al 0.500 0.781 0.500
Tl 0.000 0.419 0.500
Tl 0.000 0.581 0.500
Tl 0.500 0.081 0.500
Tl 0.500 0.919 0.500